Crystalline HoTiNiRh at its relaxed geometry, computed with GGA-PBE.

Computed properties:
As for the volume: 67.8 Å³ per cell. For the size of the total moment, the calculation gives 0.07 μB per formula unit. The value obtained for the formation energy is -468 meV per atom. The value obtained for the electronic total energy is -6.869 eV per atom. The calculation puts the density of states at the Fermi level at 1.47 states/eV per atom. The crystal system is cubic.

a = 4.5772 Å, b = 4.5772 Å, c = 4.5772 Å
α = 60.00°, β = 60.00°, γ = 60.00°
With the nearest neighbours (Å) after each atom.
Fractional coordinates of all 4 atoms:
Rh 0.0000 0.0000 0.0000  4 Ho 2.80, 4 Ti 2.80
Ni 0.5000 0.5000 0.5000  4 Ti 2.80, 4 Ho 2.80
Ti 0.7500 0.7500 0.7500  4 Ni 2.80, 4 Rh 2.80
Ho 0.2500 0.2500 0.2500  4 Ni 2.80, 4 Rh 2.80